# CrTePN2 | Alexandria | PBE-GGA | optimized geometry
data_CrTePN2
_cell_length_a 3.695
_cell_length_b 3.695
_cell_length_c 5.706
_cell_angle_alpha 90.00
_cell_angle_beta 90.00
_cell_angle_gamma 90.00
_space_group_name_H-M_alt 'P 1'
_space_group_IT_number 1
loop_
_space_group_symop_operation_xyz
'x,y,z'
loop_
_atom_site_label
_atom_site_type_symbol
_atom_site_fract_x
_atom_site_fract_y
_atom_site_fract_z
Cr1 Cr 0.000 0.000 0.000
N1 N 0.500 0.000 0.000
Te1 Te 0.000 0.000 0.500
P1 P 0.500 0.500 0.500
N2 N 0.000 0.500 0.000
# - offset from the most stable computed form (meV/atom) = 0
# - ΔE_f (raw) (kJ/mol of formula units) = 380
# - DOS at the Fermi energy (states/eV/f.u.) = 3.94
# - total moment (μB per formula unit) = 0.2